A plane-wave DFT calculation with GGA+U was carried out for an optimized crystal structure of TaWO7.

Geometry as extended XYZ:
```
18
Lattice="-2.699 -6.925 -0.192 0.668 0.123 7.404 -4.176 5.049 -3.514" Properties=species:S:1:pos:R:3 pbc="T T T"
Ta 0.000 0.000 0.000
Ta -3.438 -0.938 -1.853
W -1.350 -3.463 -0.096
W -3.104 -0.877 1.849
O -0.878 0.233 5.864
O -2.348 -2.577 1.309
O -3.672 3.244 3.749
O -3.767 -0.661 0.039
O -1.811 -2.437 6.015
O -1.452 -0.029 1.287
O -5.330 -1.986 -2.166
O -3.859 0.824 2.389
O -2.536 -4.997 -0.050
O -2.440 -1.093 3.659
O -4.397 0.683 -2.317
O -4.756 -1.724 2.411
O -0.607 1.140 4.902
O -5.601 -2.894 -1.204
```

Computed properties:
The calculated volume comes out at 16.623 Å³/atom. The value obtained for the total energy is -7.76 eV/atom.